No. 1
VASP calculation (GGA-PBE) on an optimized crystal structure of YHgCl.

a = 4.938 Å, b = 4.938 Å, c = 4.938 Å
α = 60.00°, β = 60.00°, γ = 60.00°
Atoms (fractional coordinates):
1 Y 0.750 0.750 0.750
2 Hg 0.500 0.500 0.500
3 Cl 0.000 0.000 0.000

Output
The total DFT energy (no corrections) comes out at -3.431 eV per atom. The calculation puts the energy relative to the lowest polymorph listed for this composition at 416 meV per atom.

---

No. 2
VASP calculation (GGA-PBE) on an optimized crystal structure of Pm4ErIn4.

a = 6.232 Å, b = 9.196 Å, c = 9.196 Å
α = 90.00°, β = 90.00°, γ = 90.00°
Atoms (fractional coordinates):
1 Pm 0.130 0.072 0.670
2 Pm 0.130 0.928 0.330
3 Pm 0.630 0.170 0.428
4 Pm 0.630 0.830 0.572
5 Pm 0.370 0.428 0.830
6 Pm 0.370 0.572 0.170
7 Pm 0.870 0.670 0.928
8 Pm 0.870 0.330 0.072
9 In 0.882 0.598 0.300
10 In 0.618 0.902 0.200
11 In 0.118 0.300 0.402
12 In 0.618 0.098 0.800
13 In 0.382 0.200 0.098
14 In 0.118 0.700 0.598
15 In 0.382 0.800 0.902
16 In 0.882 0.402 0.700
17 Er 0.500 0.500 0.500
18 Er 0.000 0.000 0.000

Output
The total DFT energy (no corrections) comes out at -4.124 eV per atom. As for the formation energy: -0.29 eV/atom.